[1]
Pr3SmEr6Th2 (GGA-PBE, relaxed); symmetry = C2/m; E_tot = -61.00 eV/f.u.
1.0
3.111 -5.387 0.000
3.111 5.387 0.000
-2.080 0.000 11.558
Pr Sm Er Th
3 1 6 2
direct
0.000 0.000 0.000
0.334 0.666 0.000
0.666 0.334 0.000
0.500 0.500 0.500
0.080 0.418 0.255
0.244 0.244 0.745
0.418 0.080 0.255
0.582 0.920 0.745
0.756 0.756 0.255
0.920 0.582 0.745
0.167 0.833 0.500
0.833 0.167 0.500

---

[2]
K2Zn2PbS4 (GGA-PBE, relaxed); raw formation energy = -871 meV/atom; symmetry = C2/m
1.0
7.906 -2.018 0.000
7.906 2.018 0.000
-2.918 0.000 7.261
K Zn Pb S
2 2 1 4
direct
0.123 0.123 0.041
0.877 0.877 0.959
0.327 0.327 0.525
0.673 0.673 0.475
0.000 0.000 0.500
0.211 0.211 0.667
0.471 0.471 0.748
0.529 0.529 0.252
0.789 0.789 0.333

---

> What is the formula in the second record?

K2Zn2PbS4

---

> Which formula does entry 1 have?

Pr3SmEr6Th2